TaCr3N | PBE | relaxed

Properties
E above lowest polymorph ... 3233 meV per atom
Raw formation energy ... 3012 meV/atom
Space-group type ... Pm-3m (221)

Cell and atoms, written as CIF:
```
data_TaCr3N
_chemical_formula_sum 'Ta1 Cr3 N1'
_cell_length_a 4.490
_cell_length_b 4.490
_cell_length_c 4.490
_cell_angle_alpha 90.00
_cell_angle_beta 90.00
_cell_angle_gamma 90.00
_symmetry_space_group_name_H-M 'P 1'
_symmetry_Int_Tables_number 1
loop_
_symmetry_equiv_pos_as_xyz
'x,y,z'
loop_
_atom_site_label
_atom_site_type_symbol
_atom_site_fract_x
_atom_site_fract_y
_atom_site_fract_z
Cr1 Cr 0.500 0.000 0.000
Cr2 Cr 0.000 0.000 0.500
Cr3 Cr 0.000 0.500 0.000
Ta1 Ta 0.000 0.000 0.000
N1 N 0.500 0.500 0.500
```